## K2CdRhCl6 (PBE-GGA)

Data for a relaxed K2CdRhCl6 crystal.

Computed properties:
The formation energy without anion corrections is -114.06 kJ/mol of atoms. Its total energy is -3.34 eV per atom. The total magnetization is 0.00 μB/atom.

Structure (CIF):
```
data_K2CdRhCl6
_chemical_formula_sum 'K4 Cd2 Rh2 Cl12'
_space_group_name_H-M_alt 'P m m n'
_space_group_IT_number 59
_cell_length_a 7.1828
_cell_length_b 10.1748
_cell_length_c 7.1870
_cell_angle_alpha 90.00
_cell_angle_beta 90.00
_cell_angle_gamma 90.00
loop_
_space_group_symop_operation_xyz
'x,y,z'
'-x,-y,-z'
'-x+1/2,-y+1/2,z'
'x+1/2,y+1/2,-z'
'x+1/2,-y,-z'
'-x+1/2,y,z'
'-x,y+1/2,-z'
'x,-y+1/2,z'
loop_
_atom_site_label
_atom_site_fract_x
_atom_site_fract_y
_atom_site_fract_z
K1 0.2500 0.9998 0.2482
Cd1 0.2500 0.2500 0.7484
Rh1 0.2500 0.7500 0.7512
Cl1 0.0111 0.7500 0.5125
Cl2 0.0113 0.7500 0.9900
Cl3 0.2500 0.5117 0.7515
```

## KCd2RhCl8 (PBE-GGA)

Data for a relaxed KCd2RhCl8 crystal.

Computed properties:
The formation energy without anion corrections is -99.66 kJ/mol of atoms. Its total energy is -3.12 eV per atom. The total magnetization is 0.00 μB/atom.

Structure (CIF):
```
data_KCd2RhCl8
_chemical_formula_sum 'K2 Cd4 Rh2 Cl16'
_space_group_name_H-M_alt 'C 1 2/m 1'
_space_group_IT_number 12
_cell_length_a 10.4784
_cell_length_b 7.1347
_cell_length_c 9.0536
_cell_angle_alpha 90.00
_cell_angle_beta 93.43
_cell_angle_gamma 90.00
loop_
_space_group_symop_operation_xyz
'x,y,z'
'-x,-y,-z'
'-x,y,-z'
'x,-y,z'
'x+1/2,y+1/2,z'
'-x+1/2,-y+1/2,-z'
'-x+1/2,y+1/2,-z'
'x+1/2,-y+1/2,z'
loop_
_atom_site_label
_atom_site_fract_x
_atom_site_fract_y
_atom_site_fract_z
K1 0.0000 0.0000 0.0000
Cd1 0.1437 0.5000 0.2990
Rh1 0.0000 0.0000 0.5000
Cl1 0.0275 0.2321 0.6866
Cl2 0.1935 0.5000 0.0435
Cl3 0.2208 0.0000 0.4634
```

## KCdSCl (PBE-GGA)

Data for a relaxed KCdSCl crystal.

Computed properties:
The formation energy without anion corrections is -112.23 kJ/mol of atoms. Its total energy is -3.16 eV per atom. The total magnetization is 0.00 μB/atom.

Structure (CIF):
```
data_KCdSCl
_chemical_formula_sum 'K2 Cd2 S2 Cl2'
_space_group_name_H-M_alt 'C 1 m 1'
_space_group_IT_number 8
_cell_length_a 7.2679
_cell_length_b 4.1943
_cell_length_c 8.1011
_cell_angle_alpha 90.00
_cell_angle_beta 107.37
_cell_angle_gamma 90.00
loop_
_space_group_symop_operation_xyz
'x,y,z'
'x,-y,z'
'x+1/2,y+1/2,z'
'x+1/2,-y+1/2,z'
loop_
_atom_site_label
_atom_site_fract_x
_atom_site_fract_y
_atom_site_fract_z
K1 0.0000 0.0000 0.0000
Cd1 0.1481 0.0000 0.4391
S1 0.2743 0.5000 0.3176
Cl1 0.2569 0.0000 0.7704
```

## KCdSbCl6 (PBE-GGA)

Data for a relaxed KCdSbCl6 crystal.

Computed properties:
The formation energy without anion corrections is -116.17 kJ/mol of atoms. Its total energy is -3.12 eV per atom. The total magnetization is 0.00 μB/atom.

Structure (CIF):
```
data_KCdSbCl6
_chemical_formula_sum 'K1 Cd1 Sb1 Cl6'
_space_group_name_H-M_alt 'P 3 1 2'
_space_group_IT_number 149
_cell_length_a 6.9618
_cell_length_b 6.9618
_cell_length_c 6.9275
_cell_angle_alpha 90.00
_cell_angle_beta 90.00
_cell_angle_gamma 120.00
loop_
_space_group_symop_operation_xyz
'x,y,z'
'-y,x-y,z'
'-x+y,-x,z'
'-y,-x,-z'
'-x+y,y,-z'
'x,x-y,-z'
loop_
_atom_site_label
_atom_site_fract_x
_atom_site_fract_y
_atom_site_fract_z
K1 0.0000 0.0000 0.0000
Cd1 0.6667 0.3333 0.5000
Sb1 0.3333 0.6667 0.5000
Cl1 0.3705 0.0016 0.7198
```